No. 1
## HfP2Pb (PBE-GGA)

Data for a geometry-optimized HfP2Pb structure.

## Properties
ΔE_f	-1.04	eV/f.u.
M_tot	0.0	μB per formula unit

Cell: 6.2856 6.2856 11.9808 Å, 90.00 90.00 90.00°
Space group I-42d (No. 122)
Symmetry-distinct sites (fractional):
Hf 0.0000 0.0000 0.0000 x4
P 0.1987 0.2500 0.1250 x8
Pb 0.0000 0.0000 0.5000 x4

***

No. 2
## Tl8Te3Br2 (PBE-GGA)

Data for a geometry-optimized Tl8Te3Br2 structure.

## Properties
E_form (uncorrected)	-5.4	eV per formula unit
M_tot	0.0	μB per formula unit

Cell: 9.9443 5.5562 9.9592 Å, 90.00 108.05 90.00°
Space group P2/m (No. 10)
Symmetry-distinct sites (fractional):
Tl 0.1086 0.0000 0.3510 x2
Tl 0.1159 0.5000 0.8843 x2
Tl 0.3516 0.0000 0.1081 x2
Tl 0.3741 0.5000 0.6249 x2
Te 0.0000 0.0000 0.0000 x1
Te 0.2744 0.5000 0.2737 x2
Br 0.2686 0.0000 0.7310 x2

***

No. 3
## TcPdO2 (PBE-GGA)

Data for a geometry-optimized TcPdO2 structure.

## Properties
E_form (uncorrected)	-1.5	eV per formula unit
M_tot	0.0	μB per formula unit

Cell: 4.1051 4.1051 12.0603 Å, 90.00 90.00 90.00°
Space group I-42d (No. 122)
Symmetry-distinct sites (fractional):
Tc 0.0000 0.0000 0.0000 x4
Pd 0.0000 0.0000 0.5000 x4
O 0.1872 0.2500 0.1250 x8

***

No. 4
## TbMg9Zn3 (PBE-GGA)

Data for a geometry-optimized TbMg9Zn3 structure.

## Properties
ΔE_f	-1.29	eV/f.u.
M_tot	0.0	μB per formula unit

Cell: 5.6667 13.8742 7.4659 Å, 90.00 111.29 90.00°
Space group C2/m (No. 12)
Symmetry-distinct sites (fractional):
Tb 0.0000 0.0000 0.0000 x2
Mg 0.0000 0.0000 0.5000 x2
Mg 0.0988 0.3914 0.2091 x8
Mg 0.1718 0.1770 0.3400 x8
Zn 0.0000 0.5000 0.5000 x2
Zn 0.2500 0.2500 0.0000 x4

***

No. 5
## CaTiMoAs2 (PBE-GGA)

Data for a geometry-optimized CaTiMoAs2 structure.

## Properties
ΔE_f	4.13	eV/f.u.
M_tot	4.0	μB per formula unit

Cell: 4.9020 4.9020 5.1064 Å, 90.00 90.00 90.00°
Space group P4/mmm (No. 123)
Symmetry-distinct sites (fractional):
Ca 0.0000 0.0000 0.0000 x1
Ti 0.0000 0.0000 0.5000 x1
Mo 0.5000 0.5000 0.0000 x1
As 0.0000 0.5000 0.5000 x2

***

No. 6
## LaTlZn2 (PBE-GGA)

Data for a geometry-optimized LaTlZn2 structure.

## Properties
ΔE_f	-0.08	eV/f.u.
M_tot	0.0	μB per formula unit

Cell: 4.7666 4.7666 19.2876 Å, 90.00 90.00 90.00°
Space group I-42d (No. 122)
Symmetry-distinct sites (fractional):
La 0.0000 0.0000 0.0000 x4
Tl 0.0000 0.0000 0.5000 x4
Zn 0.1202 0.2500 0.6250 x8

***

No. 7
## Sr2LaH6Ru (PBE-GGA)

Data for a geometry-optimized Sr2LaH6Ru structure.

## Properties
DFT total energy	-42.1	eV for the cell shown
M_tot	0.0	μB per formula unit

Cell: 5.3777 5.3777 6.3142 Å, 90.00 90.00 120.00°
Space group P-3m1 (No. 164)
Symmetry-distinct sites (fractional):
Sr 0.3333 0.6667 0.3382 x2
La 0.0000 0.0000 0.0000 x1
H 0.1510 0.3020 0.6634 x6
Ru 0.0000 0.0000 0.5000 x1

***

No. 8
## CsPbN2 (PBE-GGA)

Data for a geometry-optimized CsPbN2 structure.

## Properties
E_form (uncorrected)	-0.2	eV per formula unit
M_tot	0.5	μB per formula unit

Cell: 4.6888 23.2564 4.7379 Å, 90.00 90.85 90.00°
Space group C2/c (No. 15)
Symmetry-distinct sites (fractional):
Cs 0.0000 0.0938 0.2500 x4
Pb 0.2500 0.2500 0.0000 x4
N 0.1227 0.4627 0.2511 x8